[1]
Here is a relaxed structure of ScAg2Te from the Alexandria database. Energies are from GGA-PBE.

Structure (POSCAR):
```
ScAg2Te
1.0
5.497 -2.066 0.000
5.497 2.066 0.000
-0.276 0.000 3.973
Sc Ag Te
1 2 1
Cartesian
0.000 0.000 0.000 Sc
2.605 0.000 3.016 Ag
8.112 0.000 0.957 Ag
5.358 0.000 1.986 Te
```

Its energy is -4.08 eV per atom. As for the symmetry: C2/m (12). The formation energy (no corrections) comes out at -290.7 meV/atom. The calculated volume comes out at 90 Å³/f.u.



[2]
Here is a relaxed structure of Sc2Ag2Te5 from the Alexandria database. Energies are from GGA-PBE.

Structure (POSCAR):
```
Sc2Ag2Te5
1.0
-10.504 3.635 3.621
10.504 -3.635 3.621
10.504 3.635 -3.621
Sc Ag Te
4 4 10
Cartesian
2.768 0.095 0.000 Sc
7.736 0.095 0.000 Sc
2.768 3.540 3.621 Sc
7.736 3.540 3.621 Sc
5.252 3.346 -0.408 Ag
0.000 0.000 2.990 Ag
10.504 0.000 2.990 Ag
5.252 0.290 3.213 Ag
13.324 2.582 -0.992 Te
7.685 -1.053 2.629 Te
1.235 2.111 1.444 Te
9.269 2.111 1.444 Te
-2.820 1.053 2.629 Te
13.324 1.053 2.629 Te
5.252 3.015 2.470 Te
-1.235 5.159 1.444 Te
1.235 1.524 5.065 Te
-5.252 4.255 2.470 Te
```

Its energy is -4.31 eV per atom. As for the symmetry: Ima2 (46). The formation energy (no corrections) comes out at -519.3 meV/atom. The calculated volume comes out at 277 Å³/f.u.



[3]
Here is a relaxed structure of ScAg2Te from the Alexandria database. Energies are from GGA-PBE.

Structure (POSCAR):
```
ScAg2Te
1.0
3.731 0.000 0.000
0.000 3.731 0.000
0.000 0.000 6.466
Sc Ag Te
1 2 1
Cartesian
0.000 0.000 0.000 Sc
0.000 0.000 3.596 Ag
1.865 1.865 4.680 Ag
1.865 1.865 1.287 Te
```

Its energy is -4.15 eV per atom. As for the symmetry: P4mm (99). The formation energy (no corrections) comes out at -357.3 meV/atom. The calculated volume comes out at 90 Å³/f.u.



[4]
Here is a relaxed structure of ScAg2Te from the Alexandria database. Energies are from GGA-PBE.

Structure (POSCAR):
```
ScAg2Te
1.0
-2.147 2.214 4.519
2.147 -2.214 4.519
2.147 2.214 -4.519
Sc Ag Te
1 2 1
Cartesian
0.000 0.000 0.000 Sc
0.000 0.000 4.528 Ag
0.000 2.214 2.265 Ag
2.147 0.000 2.239 Te
```

Its energy is -3.99 eV per atom. As for the symmetry: Imm2 (44). The formation energy (no corrections) comes out at -196.3 meV/atom. The calculated volume comes out at 86 Å³/f.u.



[5]
Here is a relaxed structure of ScTl2Ag2Te4 from the Alexandria database. Energies are from GGA-PBE.

Structure (POSCAR):
```
ScTl2Ag2Te4
1.0
7.984 -2.109 0.000
7.984 2.109 0.000
-2.842 0.000 7.996
Sc Tl Ag Te
1 2 2 4
Cartesian
0.000 0.000 0.000 Sc
0.443 0.000 4.655 Tl
12.682 0.000 3.341 Tl
5.019 0.000 0.183 Ag
8.106 0.000 7.813 Ag
2.498 0.000 1.660 Te
7.193 0.000 1.934 Te
5.932 0.000 6.063 Te
10.628 0.000 6.336 Te
```

Its energy is -3.74 eV per atom. As for the symmetry: C2/m (12). The formation energy (no corrections) comes out at -482.5 meV/atom. The calculated volume comes out at 269 Å³/f.u.



[6]
Here is a relaxed structure of ScTlAgTe2 from the Alexandria database. Energies are from GGA-PBE.

Structure (POSCAR):
```
ScTlAgTe2
1.0
8.129 0.000 0.000
0.000 5.302 0.000
-1.517 0.000 7.400
Sc Tl Ag Te
2 2 2 4
Cartesian
-0.379 0.019 1.850 Sc
-1.138 5.284 5.550 Sc
2.927 1.804 5.550 Tl
3.685 3.498 1.850 Tl
0.000 2.651 0.000 Ag
-0.759 2.651 3.700 Ag
1.979 0.778 0.398 Te
1.220 4.524 4.098 Te
5.392 0.778 3.302 Te
4.634 4.524 7.002 Te
```

Its energy is -4.04 eV per atom. As for the symmetry: P2/c (13). The formation energy (no corrections) comes out at -477.1 meV/atom. The calculated volume comes out at 159 Å³/f.u.